# 1
DFT (PBE with a Hubbard U) results for a relaxed structure of AcV2GeO8.

Calculated values
E_tot (Ha/atom): -0.2711
Magnetization (Bohr magnetons per cell): 1.00

Cell: 5.4336 5.4336 6.8540 Å, 90.00 90.00 120.00°
Space group P-3 (No. 147)
Unique sites:
Ac  0.0000  0.0000  0.0000 x1
V  0.3333  0.6667  0.7390 x2
Ge  0.0000  0.0000  0.5000 x1
O  0.0858  0.3058  0.6763 x6
O  0.3333  0.6667  0.9880 x2

# 2
DFT (PBE with a Hubbard U) results for a relaxed structure of Ac2VGeO6.

Calculated values
E_tot (Ha/atom): -0.2797
Magnetization (Bohr magnetons per cell): 3.00

Cell: 5.643 5.653 5.655 Å, 61.10 60.96 61.17°
Space group P-1 (No. 2)
Unique sites:
Ac  0.249  0.252  0.252 x2
V  0.000  0.000  0.000 x1
Ge  0.500  0.500  0.500 x1
O  0.212  0.725  0.315 x2
O  0.256  0.679  0.793 x2
O  0.326  0.203  0.725 x2

# 3
DFT (PBE with a Hubbard U) results for a relaxed structure of Ac2GeWO8.

Calculated values
E_tot (Ha/atom): -0.2594
Magnetization (Bohr magnetons per cell): 0.77

Cell: 6.9411 6.9411 4.9925 Å, 90.00 90.00 120.00°
Space group P-3m1 (No. 164)
Unique sites:
Ac  0.3333  0.6667  0.2275 x2
Ge  0.0000  0.0000  0.0000 x1
W  0.0000  0.0000  0.5000 x1
O  0.1249  0.2498  0.2430 x6
O  0.3333  0.6667  0.7485 x2

# 4
DFT (PBE with a Hubbard U) results for a relaxed structure of AcGe2WO8.

Calculated values
E_tot (Ha/atom): -0.2562
Magnetization (Bohr magnetons per cell): 1.93

Cell: 7.214 7.214 6.291 Å, 90.00 90.00 90.00°
Space group I-4m2 (No. 119)
Unique sites:
Ac  0.000  0.000  0.000 x2
Ge  0.000  0.000  0.500 x2
Ge  0.000  0.500  0.250 x2
W  0.000  0.500  0.750 x2
O  0.000  0.201  0.668 x8
O  0.000  0.337  0.038 x8